A plane-wave DFT calculation with GGA-PBE was carried out for a relaxed NiMoHRu2 crystal.

Values from the calculation:
D(E_F) (states/eV/atom): 0.908
Calculated volume (Å³/cell): 56.69
Magnetization (μB per atom): 0.00
Calculated total energy (eV/atom): -7.68
Excess energy over the best structure of this formula in the dataset (meV per atom): 0

Cell lengths 3.926, 3.926, 3.678 Å; angles 90.00, 90.00, 90.00 degrees
Fractional coordinates of all 5 atoms:
Ru  0.000  0.500  0.000
Ru  0.500  0.000  0.000
Mo  0.500  0.500  0.500
H  0.000  0.000  0.000
Ni  0.000  0.000  0.500